Here is K3CeU3Te8 after structural relaxation from Alexandria via LeMat-Bulk. Energies are from PBE.

Cell: 8.976 8.976 9.862 Å, 117.08 89.99 120.00°
Sites, in units of the cell vectors:
K (0.000, 0.000, 0.000)
K (0.000, 0.500, 0.000)
K (0.500, 0.500, 0.000)
Ce (0.000, 0.000, 0.500)
U (0.500, 0.000, 0.500)
U (0.500, 0.500, 0.500)
U (0.000, 0.500, 0.500)
Te (0.263, 0.526, 0.290)
Te (0.737, 0.474, 0.710)
Te (0.759, 0.518, 0.290)
Te (0.241, 0.482, 0.710)
Te (0.759, 0.030, 0.290)
Te (0.241, 0.970, 0.710)
Te (0.271, 0.030, 0.290)
Te (0.729, 0.970, 0.710)

## Properties
- calculated volume (A^3/atom) = 39.02
- VASP energy (eV per atom) = -5.491
- spin magnetization (μB/f.u.) = 9.0

***

Here is KCe2YTe4 after structural relaxation from Alexandria via LeMat-Bulk. Energies are from PBE.

Cell: 4.498 7.902 7.930 Å, 71.32 90.00 90.00°
Sites, in units of the cell vectors:
K (0.500, 0.500, 0.000)
Ce (0.000, 0.000, 0.000)
Ce (0.500, 0.000, 0.500)
Y (0.000, 0.500, 0.500)
Te (0.000, 0.756, 0.735)
Te (0.000, 0.244, 0.265)
Te (0.500, 0.746, 0.262)
Te (0.500, 0.254, 0.738)

## Properties
- calculated volume (A^3/atom) = 33.37
- VASP energy (eV per atom) = -5.303
- spin magnetization (μB/f.u.) = 2.6

***

Here is K4Ce3YTe8 after structural relaxation from Alexandria via LeMat-Bulk. Energies are from PBE.

Cell: 9.240 9.808 9.242 Å, 118.13 119.99 90.00°
Sites, in units of the cell vectors:
K (0.500, 0.000, 0.000)
K (0.500, 0.000, 0.500)
K (0.000, 0.000, 0.000)
K (0.000, 0.000, 0.500)
Ce (0.500, 0.500, 0.000)
Ce (0.500, 0.500, 0.500)
Ce (0.000, 0.500, 0.500)
Y (0.000, 0.500, 0.000)
Te (0.234, 0.712, 0.978)
Te (0.234, 0.712, 0.467)
Te (0.262, 0.285, 0.523)
Te (0.745, 0.712, 0.978)
Te (0.255, 0.288, 0.022)
Te (0.738, 0.715, 0.477)
Te (0.766, 0.288, 0.533)
Te (0.766, 0.288, 0.022)

## Properties
- calculated volume (A^3/atom) = 38.03
- VASP energy (eV per atom) = -4.722
- spin magnetization (μB/f.u.) = 3.0

***

Here is K3Ce3YTe8 after structural relaxation from Alexandria via LeMat-Bulk. Energies are from PBE.

Cell: 9.112 9.112 9.864 Å, 117.54 89.98 120.01°
Sites, in units of the cell vectors:
K (0.000, 0.000, 0.000)
K (0.000, 0.500, 0.000)
K (0.500, 0.500, 0.000)
Ce (0.500, 0.000, 0.500)
Ce (0.500, 0.500, 0.500)
Ce (0.000, 0.500, 0.500)
Y (0.000, 0.000, 0.500)
Te (0.262, 0.525, 0.287)
Te (0.738, 0.475, 0.713)
Te (0.766, 0.532, 0.293)
Te (0.234, 0.468, 0.707)
Te (0.766, 0.027, 0.293)
Te (0.234, 0.973, 0.707)
Te (0.261, 0.027, 0.293)
Te (0.739, 0.973, 0.707)

## Properties
- calculated volume (A^3/atom) = 39.98
- VASP energy (eV per atom) = -4.854
- spin magnetization (μB/f.u.) = 2.0

***

Here is K3CeY3Te8 after structural relaxation from Alexandria via LeMat-Bulk. Energies are from PBE.

Cell: 8.932 8.932 9.832 Å, 117.03 90.00 120.00°
Sites, in units of the cell vectors:
K (0.000, 0.000, 0.000)
K (0.000, 0.500, 0.000)
K (0.500, 0.500, 0.000)
Ce (0.000, 0.000, 0.500)
Y (0.500, 0.000, 0.500)
Y (0.500, 0.500, 0.500)
Y (0.000, 0.500, 0.500)
Te (0.264, 0.528, 0.292)
Te (0.736, 0.472, 0.708)
Te (0.763, 0.527, 0.293)
Te (0.237, 0.473, 0.707)
Te (0.763, 0.030, 0.293)
Te (0.237, 0.970, 0.707)
Te (0.266, 0.030, 0.293)
Te (0.734, 0.970, 0.707)

## Properties
- calculated volume (A^3/atom) = 38.55
- VASP energy (eV per atom) = -4.945
- spin magnetization (μB/f.u.) = 0.1

***

Here is K4Ce3ZrTe8 after structural relaxation from Alexandria via LeMat-Bulk. Energies are from PBE.

Cell: 9.061 9.800 9.059 Å, 117.52 120.01 90.00°
Sites, in units of the cell vectors:
K (0.500, 0.000, 0.000)
K (0.500, 0.000, 0.500)
K (0.000, 0.000, 0.000)
K (0.000, 0.000, 0.500)
Ce (0.500, 0.500, 0.000)
Ce (0.500, 0.500, 0.500)
Ce (0.000, 0.500, 0.500)
Zr (0.000, 0.500, 0.000)
Te (0.228, 0.709, 0.981)
Te (0.228, 0.709, 0.456)
Te (0.261, 0.282, 0.521)
Te (0.754, 0.709, 0.981)
Te (0.246, 0.291, 0.019)
Te (0.739, 0.718, 0.479)
Te (0.772, 0.291, 0.544)
Te (0.772, 0.291, 0.019)

## Properties
- calculated volume (A^3/atom) = 36.82
- VASP energy (eV per atom) = -4.725
- spin magnetization (μB/f.u.) = 4.0

***

Here is K2CeZrTe4 after structural relaxation from Alexandria via LeMat-Bulk. Energies are from PBE.

Cell: 4.407 7.636 8.725 Å, 106.87 90.00 90.00°
Sites, in units of the cell vectors:
K (0.500, 0.000, 0.500)
K (0.000, 0.500, 0.500)
Ce (0.000, 0.000, 0.000)
Zr (0.500, 0.500, 0.000)
Te (0.500, 0.254, 0.213)
Te (0.500, 0.746, 0.787)
Te (0.000, 0.281, 0.795)
Te (0.000, 0.719, 0.205)

## Properties
- calculated volume (A^3/atom) = 35.13
- VASP energy (eV per atom) = -4.789
- spin magnetization (μB/f.u.) = 1.8

***

Here is KCeTl after structural relaxation from Alexandria via LeMat-Bulk. Energies are from PBE.

Cell: 6.322 6.226 6.702 Å, 66.31 90.00 120.51°
Sites, in units of the cell vectors:
Tl (0.166, 0.332, 0.775)
Tl (0.834, 0.668, 0.225)
K (0.483, 0.967, 0.252)
K (0.517, 0.033, 0.748)
Ce (0.880, 0.761, 0.694)
Ce (0.120, 0.239, 0.306)

## Properties
- calculated volume (A^3/atom) = 33.51
- ΔH_f (0 K) (eV/atom) = 0.186
- spin magnetization (μB/f.u.) = 1.1